{
  "formula": "U3Hg3BiTe8",
  "functional": "PBE-GGA",
  "state": "relaxed",
  "lattice_angstrom": [[4.3718, 2.5241, 9.5822], [-4.3718, 2.5241, 9.5822], [0.0000, -5.0482, 9.5822]],
  "species": ["U", "U", "U", "Hg", "Hg", "Hg", "Bi", "Te", "Te", "Te", "Te", "Te", "Te", "Te", "Te"],
  "frac_coords": [[0.0000, 0.5000, 0.5000], [0.5000, 0.0000, 0.5000], [0.5000, 0.5000, 0.0000], [0.0000, 0.0000, 0.5000], [0.0000, 0.5000, 0.0000], [0.5000, 0.0000, 0.0000], [0.0000, 0.0000, 0.0000], [0.2346, 0.2346, 0.7137], [0.2346, 0.7137, 0.2346], [0.2733, 0.2733, 0.2733], [0.2863, 0.7654, 0.7654], [0.7137, 0.2346, 0.2346], [0.7267, 0.7267, 0.7267], [0.7654, 0.2863, 0.7654], [0.7654, 0.7654, 0.2863]],
  "e_tot_ev_per_atom": -4.62,
  "density_g_cm3": 6.663,
  "dos_at_fermi_per_ev_cell": 17.04,
  "sg": "R-3m",
  "raw_formation_energy_ev_per_atom": -0.3697
}